(1)
A relaxed MnAs2HBr crystal, computed with PBE-GGA.

Values from the calculation:
For the total magnetization, the calculation gives 5.5 μB/f.u. Its total energy is -3.108 eV/atom.

```
MnAs2HBr
1.0
5.2554 0.0000 0.0000
0.0000 5.2554 0.0000
0.0000 0.0000 4.8596
Mn As H Br
1 2 1 1
Direct
0.0000 0.0000 0.0000
0.0000 0.5000 0.5000
0.5000 0.0000 0.5000
0.5000 0.5000 0.0000
0.0000 0.0000 0.5000
```



(2)
A relaxed MnAs2HBr crystal, computed with PBE-GGA.

Values from the calculation:
For the total magnetization, the calculation gives 2.7 μB/f.u. Its total energy is -4.044 eV/atom.

```
MnAs2HBr
1.0
4.5764 0.0000 0.0000
0.0000 4.5764 0.0000
0.0000 0.0000 5.4321
Mn As H Br
1 2 1 1
Direct
0.0000 0.0000 0.0000
0.0000 0.5000 0.0000
0.5000 0.0000 0.0000
0.5000 0.5000 0.5000
0.0000 0.0000 0.5000
```